1.
DFT (GGA-PBEsol) results for a relaxed GeBO2 crystal.

Cell: 2.9960 2.9960 19.1890 Å, 90.00 90.00 120.00°
Space group R-3m (No. 166, hexagonal axes)
Unique sites:
Ge1 0.0000 0.0000 0.0000 x3
B1 0.0000 0.0000 0.5000 x3
O1 0.0000 0.0000 0.4340 x6

Results
**Formation energy (no corrections)**: -1128 meV per atom

=====

2.
DFT (GGA-PBEsol) results for a relaxed KBe2Pt crystal.

Cell: 6.254 6.254 6.254 Å, 90.00 90.00 90.00°
Space group Fm-3m (No. 225)
Unique sites:
K1 0.000 0.000 0.000 x4
Be1 0.250 0.250 0.250 x8
Pt1 0.000 0.000 0.500 x4

Results
**Energy relative to the lowest polymorph listed for this composition**: 0.5642 eV per atom
**Formation enthalpy at 0 K**: 0.65 eV per atom

=====

3.
DFT (GGA-PBEsol) results for a relaxed ThCoSn crystal.

Cell: 7.2507 7.2507 4.0234 Å, 90.00 90.00 120.00°
Space group P-62m (No. 189)
Unique sites:
Th1 0.0000 0.5854 0.0000 x3
Co1 0.0000 0.0000 0.0000 x1
Co2 0.3333 0.6667 0.5000 x2
Sn1 0.0000 0.2481 0.5000 x3

Results
**Formation enthalpy at 0 K**: -0.57 eV per atom

=====

4.
DFT (GGA-PBEsol) results for a relaxed BaSi2P crystal.

Cell: 4.202 4.202 10.018 Å, 90.00 90.00 90.00°
Space group I4/mmm (No. 139)
Unique sites:
Ba1 0.000 0.000 0.000 x2
Si1 0.000 0.500 0.250 x4
P1 0.000 0.000 0.500 x2

Results
**Formation energy (no corrections)**: 304 meV per atom

=====

5.
DFT (GGA-PBEsol) results for a relaxed PdSe2Br6 crystal.

Cell: 4.640 7.057 8.839 Å, 104.68 96.04 92.71°
Space group P-1 (No. 2)
Unique sites:
Pd1 0.000 0.000 0.000 x1
Se1 0.327 0.223 0.203 x2
Br1 0.071 0.509 0.211 x2
Br2 0.246 0.177 0.449 x2
Br3 0.319 0.136 0.846 x2

Results
**Formation energy (no corrections)**: -190 meV per atom

=====

6.
DFT (GGA-PBEsol) results for a relaxed ZrNb3H crystal.

Cell: 4.272 4.272 4.272 Å, 90.00 90.00 90.00°
Space group Pm-3m (No. 221)
Unique sites:
Zr1 0.000 0.000 0.000 x1
Nb1 0.000 0.500 0.500 x3
H1 0.500 0.500 0.500 x1

=====

7.
DFT (GGA-PBEsol) results for a relaxed Mn2ReOs crystal.

Cell: 2.6395 2.6395 25.2399 Å, 90.00 90.00 120.00°
Space group R-3m (No. 166, hexagonal axes)
Unique sites:
Mn1 0.0000 0.0000 0.2491 x6
Re1 0.0000 0.0000 0.0000 x3
Os1 0.0000 0.0000 0.5000 x3

Results
**Formation enthalpy at 0 K**: 0.17 eV per atom

=====

8.
DFT (GGA-PBEsol) results for a relaxed SiSb2Rh crystal.

Cell: 4.386 4.386 8.004 Å, 90.00 90.00 90.00°
Space group I-4m2 (No. 119)
Unique sites:
Si1 0.000 0.000 0.000 x2
Sb1 0.000 0.000 0.500 x2
Sb2 0.000 0.500 0.750 x2
Rh1 0.000 0.500 0.250 x2

Results
**Formation energy (no corrections)**: 296 meV per atom

=====

9.
DFT (GGA-PBEsol) results for a relaxed Ba5P crystal.

Cell: 10.308 10.308 10.308 Å, 90.00 90.00 90.00°
Space group F-43m (No. 216)
Unique sites:
Ba1 0.000 0.000 0.000 x4
Ba2 0.122 0.122 0.622 x16
P1 0.250 0.250 0.250 x4

Results
**Formation enthalpy at 0 K**: 0.40 eV per atom

=====

10.
DFT (GGA-PBEsol) results for a relaxed SrGa3Pd crystal.

Cell: 6.374 10.332 5.966 Å, 90.00 90.00 90.00°
Space group Cmcm (No. 63)
Unique sites:
Sr1 0.000 0.235 0.250 x4
Ga1 0.000 0.338 0.750 x4
Ga2 0.219 0.500 0.000 x8
Pd1 0.000 0.098 0.750 x4

Results
**Formation enthalpy at 0 K**: -0.64 eV per atom

=====

11.
DFT (GGA-PBEsol) results for a relaxed Fe4CoBr crystal.

Cell: 6.744 6.744 6.744 Å, 90.00 90.00 90.00°
Space group F-43m (No. 216)
Unique sites:
Fe1 0.124 0.124 0.376 x16
Co1 0.250 0.250 0.750 x4
Br1 0.000 0.000 0.000 x4

Results
**Formation energy (no corrections)**: 704 meV per atom

=====

12.
DFT (GGA-PBEsol) results for a relaxed HOsCBr2 crystal.

Cell: 4.834 4.834 3.821 Å, 90.00 90.00 90.00°
Space group P4/mmm (No. 123)
Unique sites:
H1 0.000 0.000 0.000 x1
Os1 0.500 0.500 0.000 x1
C1 0.500 0.500 0.500 x1
Br1 0.000 0.500 0.500 x2

=====

Number 1: E_tot -6.74 eV per atom, calculated volume 149 Å³ per cell. Number 2: E_tot -3.37 eV per atom, calculated volume 245 Å³ per cell. Number 3: E_tot -7.27 eV per atom, calculated volume 183 Å³ per cell. Number 4: E_tot -4.55 eV per atom, calculated volume 177 Å³ per cell. Number 5: E_tot -2.95 eV per atom, calculated volume 278 Å³ per cell. Number 6: E_tot -8.85 eV per atom, calculated volume 78 Å³ per cell. Number 7: E_tot -11.10 eV per atom, calculated volume 152 Å³ per cell. Number 8: E_tot -5.45 eV per atom, calculated volume 154 Å³ per cell. Number 9: E_tot -2.36 eV per atom, calculated volume 1095 Å³ per cell. Number 10: E_tot -4.20 eV per atom, calculated volume 393 Å³ per cell. Number 11: E_tot -6.87 eV per atom, calculated volume 307 Å³ per cell. Number 12: E_tot -4.04 eV per atom, calculated volume 89 Å³ per cell.